# Ba2LaHg

Ba2LaHg after structural relaxation (GGA-PBE, the Alexandria database).

M_tot, μB/f.u.: 0.00
Raw total energy, eV per cell: -9.2

The structure in POSCAR format:
```
Ba2LaHg
1.0
-5.408 3.382 -6.175
-2.031 -3.873 4.665
-2.709 2.859 1.190
Ba La Hg
2 1 1
Direct
0.500 0.000 0.500 Ba
0.000 0.000 0.000 Ba
0.500 0.500 0.000 La
0.000 0.500 0.500 Hg
```